Record 1
# LiDy3Ga, relaxed, DFT PBE
# Crystal system: monoclinic
# Formation energy from the elements in meV per atom: -146
data_LiDy3Ga
_chemical_formula_sum 'Li4 Dy12 Ga4'
_space_group_name_H-M_alt 'P 1 21/c 1'
_space_group_IT_number 14
_cell_length_a 7.824
_cell_length_b 6.559
_cell_length_c 10.479
_cell_angle_alpha 90.00
_cell_angle_beta 105.69
_cell_angle_gamma 90.00
loop_
_space_group_symop_operation_xyz
'x,y,z'
'-x,-y,-z'
'-x,y+1/2,-z+1/2'
'x,-y+1/2,z+1/2'
loop_
_atom_site_label
_atom_site_type_symbol
_atom_site_fract_x
_atom_site_fract_y
_atom_site_fract_z
_atom_site_occupancy
Li1 Li 0.047 0.213 0.022 1
Dy1 Dy 0.189 0.522 0.265 1
Dy2 Dy 0.258 0.027 0.352 1
Dy3 Dy 0.389 0.673 0.591 1
Ga1 Ga 0.413 0.220 0.621 1

=====

Record 2
# SrGaSCl2, relaxed, DFT PBE
# Crystal system: tetragonal
# Raw formation energy in kJ per mole of atoms: -122.32
# Relative energy among the computed polymorphs in eV per atom: 0.0000
data_SrGaSCl2
_chemical_formula_sum 'Sr1 Ga1 S1 Cl2'
_space_group_name_H-M_alt 'P 4/m m m'
_space_group_IT_number 123
_space_group_name_Hall '-P 4 2'
_cell_length_a 5.044
_cell_length_b 5.044
_cell_length_c 4.934
_cell_angle_alpha 90.00
_cell_angle_beta 90.00
_cell_angle_gamma 90.00
loop_
_atom_site_label
_atom_site_type_symbol
_atom_site_fract_x
_atom_site_fract_y
_atom_site_fract_z
_atom_site_occupancy
Sr1 Sr 0.000 0.000 0.000 1
Ga1 Ga 0.500 0.500 0.500 1
S1 S 0.500 0.500 0.000 1
Cl1 Cl 0.000 0.500 0.500 1

=====

Record 3
# Ti2BeH, relaxed, DFT PBE
# Crystal system: tetragonal
# Relative energy among the computed polymorphs in eV per atom: 0.0000
data_Ti2BeH
_chemical_formula_sum 'Ti2 Be1 H1'
_space_group_name_H-M_alt 'P 4/m m m'
_space_group_IT_number 123
_space_group_name_Hall '-P 4 2'
_cell_length_a 2.704
_cell_length_b 2.704
_cell_length_c 6.046
_cell_angle_alpha 90.00
_cell_angle_beta 90.00
_cell_angle_gamma 90.00
loop_
_atom_site_label
_atom_site_type_symbol
_atom_site_fract_x
_atom_site_fract_y
_atom_site_fract_z
_atom_site_occupancy
Ti1 Ti 0.000 0.000 0.226 1
Be1 Be 0.500 0.500 0.500 1
H1 H 0.500 0.500 0.000 1

=====

Record 4
# Cs2ZrCdPd, relaxed, DFT PBE
# Crystal system: tetragonal
# Formation energy from the elements in meV per atom: 708
data_Cs2ZrCdPd
_chemical_formula_sum 'Cs2 Zr1 Cd1 Pd1'
_space_group_name_H-M_alt 'P 4/m m m'
_space_group_IT_number 123
_space_group_name_Hall '-P 4 2'
_cell_length_a 7.121
_cell_length_b 7.121
_cell_length_c 4.979
_cell_angle_alpha 90.00
_cell_angle_beta 90.00
_cell_angle_gamma 90.00
loop_
_atom_site_label
_atom_site_type_symbol
_atom_site_fract_x
_atom_site_fract_y
_atom_site_fract_z
_atom_site_occupancy
Cs1 Cs 0.000 0.500 0.000 1
Zr1 Zr 0.000 0.000 0.000 1
Cd1 Cd 0.500 0.500 0.500 1
Pd1 Pd 0.000 0.000 0.500 1